Tl2SbH (PBE, relaxed); E = -2.851 eV per atom; energy above the most stable polymorph in this dataset = 0.000 eV per atom
1.0
-1.339 -2.965 -0.734
8.287 -0.850 -4.110
3.348 -2.819 5.277
Tl H Sb
4 2 2
Cartesian
6.199 -3.252 1.825
4.096 -3.382 -1.392
8.721 -5.943 0.515
1.574 -0.691 -0.082
4.717 -1.457 -2.722
5.578 -5.177 3.155
2.287 -3.374 1.877
8.008 -3.260 -1.444

---

SmPaCd17 (PBE, relaxed); E = -1.605 eV per atom
1.0
7.603 0.075 0.981
0.872 7.553 0.981
0.084 0.075 7.665
Cd Pa Sm
17 1 1
Cartesian
2.361 0.086 5.616
6.998 2.679 3.823
4.928 7.491 8.961
5.300 0.086 3.002
2.207 4.764 5.590
5.293 4.764 2.847
0.642 5.262 3.002
7.966 4.115 8.961
5.538 2.339 0.989
8.322 7.491 5.944
3.398 6.678 3.823
0.333 2.339 5.616
7.773 6.997 8.744
0.881 0.793 0.991
2.976 2.679 7.398
4.970 1.696 5.590
2.906 5.262 0.989
2.802 2.522 3.152
5.711 5.140 6.424

---

RuSeOF2 (PBE, relaxed); E = -4.765 eV per atom; energy above the most stable polymorph in this dataset = 0.000 eV per atom; formation energy (no corrections) = -0.47 eV per atom
1.0
-1.716 3.856 -1.242
-0.225 -1.438 -4.152
-3.410 -1.311 0.639
Ru F O Se
1 2 1 1
Cartesian
0.000 0.000 0.000
-0.113 -0.719 -2.076
-0.858 1.928 -0.621
-1.705 -0.656 0.320
-2.676 0.553 -2.377

---

Ce2ZrSi (PBE, relaxed); E = -6.807 eV per atom; energy above the most stable polymorph in this dataset = 0.000 eV per atom; formation energy (no corrections) = -0.35 eV per atom
1.0
4.848 0.000 0.000
0.000 4.255 0.000
0.000 0.000 4.255
Ce Zr Si
2 1 1
Cartesian
0.000 0.000 2.128
0.000 2.128 0.000
2.424 0.000 0.000
2.424 2.128 2.128

---

PmNdYTm3 (PBE, relaxed); E = -4.787 eV per atom
1.0
-0.433 3.981 -4.237
-2.205 -5.861 -1.270
-10.521 3.094 3.983
Tm Pm Nd Y
6 2 2 2
Cartesian
-1.104 0.673 -3.266
-6.901 -0.975 -0.210
-6.258 2.189 -1.315
-8.711 1.009 1.839
-4.448 0.205 -3.364
-12.055 0.542 1.741
-5.027 -3.057 -2.359
-8.132 4.272 0.834
0.000 0.000 0.000
-5.260 1.547 1.991
-3.478 -0.582 -0.191
-9.681 1.796 -1.334

---

TaGePbO6 (PBE, relaxed); E = -7.417 eV per atom; formation energy (no corrections) = -1.87 eV per atom
1.0
5.249 0.000 0.000
-2.624 4.545 0.000
0.000 0.000 9.976
O Pb Ge Ta
12 2 2 2
Cartesian
1.030 1.680 3.555
1.595 2.865 6.420
0.940 1.732 8.543
1.970 0.052 1.433
-1.595 2.865 8.543
-0.654 4.494 6.420
3.565 2.813 3.555
3.279 0.052 3.555
0.654 4.494 8.543
1.684 2.813 1.433
4.219 1.680 1.433
-0.940 1.732 6.420
0.000 0.000 4.988
0.000 0.000 0.000
2.624 1.515 2.494
0.000 3.030 7.482
2.624 1.515 7.482
0.000 3.030 2.494

---

HgCBr3 (PBE, relaxed); E = -1.969 eV per atom; energy above the most stable polymorph in this dataset = 0.000 eV per atom; formation energy (no corrections) = 0.94 eV per atom
1.0
-3.693 1.888 2.489
-1.463 -4.450 1.205
2.760 0.167 3.969
Br Hg C
3 1 1
Cartesian
-0.731 -2.225 0.602
-1.847 0.944 1.244
1.380 0.083 1.984
-1.198 -1.198 3.831
0.000 0.000 0.000

---

Sm4HgTe5 (PBE, relaxed); E = -4.610 eV per atom; formation energy (no corrections) = -1.12 eV per atom
1.0
4.526 0.000 0.000
0.000 8.454 -0.925
-2.263 -1.977 10.529
Te Sm Hg
5 4 1
Cartesian
0.000 5.990 3.055
2.263 5.179 7.445
0.000 1.298 2.158
2.263 0.488 6.549
2.263 4.227 -0.462
2.263 -0.259 3.576
0.000 6.736 6.027
0.000 6.325 -0.039
2.263 0.153 9.643
2.263 0.000 0.000

---

TaVMo (PBE, relaxed); E = -10.666 eV per atom; energy above the most stable polymorph in this dataset = 0.023 eV per atom
1.0
-1.428 -2.399 0.338
0.847 0.107 4.339
-3.641 1.942 -1.591
V Ta Mo
1 1 1
Cartesian
-0.030 -0.051 0.007
-3.079 -0.239 0.607
-1.112 -0.059 2.472

---

Pu3Nb (PBE, relaxed); E = -12.625 eV per atom; energy above the most stable polymorph in this dataset = 0.345 eV per atom
1.0
2.373 0.000 0.000
0.000 5.596 0.000
-1.186 -2.798 5.479
Pu Nb
3 1
Cartesian
1.186 -0.749 2.833
0.000 2.049 2.646
1.186 2.633 0.000
0.000 5.395 0.000

---

LiYAg2 (PBE, relaxed); E = -3.702 eV per atom
1.0
5.287 -0.032 0.000
1.750 4.989 0.000
-3.518 -2.478 3.071
Ag Y Li
2 1 1
Cartesian
0.000 0.000 0.000
0.875 2.494 1.535
2.643 -0.016 1.535
3.518 2.478 0.000

---

HoPu3Ir2 (PBE, relaxed); E = -11.342 eV per atom
1.0
4.150 0.000 0.000
0.000 7.663 0.000
0.000 0.000 8.836
Ir Pu Ho
4 6 2
Cartesian
0.000 1.928 5.346
2.075 5.553 7.642
2.075 1.721 1.194
0.000 5.759 3.489
0.000 2.818 2.704
2.075 5.019 1.633
2.075 1.188 7.203
0.000 6.650 6.132
0.000 7.419 0.730
0.000 3.587 8.106
2.075 0.252 3.740
2.075 4.083 5.095